1.
Density functional theory data (PBE-GGA) for crystalline Ac4LaNd at its relaxed geometry.

Calculated values
Energy relative to the elements (eV per atom): 0.11

a b c (Å): 6.863 6.863 6.481
angles (deg): 90.12 90.12 56.01
Element x y z (fractional)
Ac1 0.160 0.160 0.475
Ac2 0.339 0.339 0.977
Ac3 0.661 0.661 0.023
Ac4 0.840 0.840 0.525
La1 0.500 0.500 0.500
Nd1 0.000 0.000 0.000


2.
Density functional theory data (PBE-GGA) for crystalline Ac5LaNd4 at its relaxed geometry.

Calculated values
Energy relative to the elements (eV per atom): 0.03

a b c (Å): 3.896 3.896 26.468
angles (deg): 90.00 90.00 90.00
Element x y z (fractional)
Ac1 0.000 0.000 0.000
Ac2 0.000 0.000 0.199
Ac3 0.000 0.000 0.398
Ac4 0.000 0.000 0.602
Ac5 0.000 0.000 0.801
La1 0.500 0.500 0.500
Nd1 0.500 0.500 0.100
Nd2 0.500 0.500 0.298
Nd3 0.500 0.500 0.702
Nd4 0.500 0.500 0.900


3.
Density functional theory data (PBE-GGA) for crystalline Ac9LaNd2 at its relaxed geometry.

Calculated values
Energy relative to the elements (eV per atom): 0.02

a b c (Å): 5.542 5.542 16.629
angles (deg): 90.00 90.00 90.00
Element x y z (fractional)
Ac1 0.000 0.000 0.000
Ac2 0.000 0.000 0.334
Ac3 0.000 0.000 0.666
Ac4 0.000 0.500 0.168
Ac5 0.000 0.500 0.500
Ac6 0.000 0.500 0.832
Ac7 0.500 0.000 0.168
Ac8 0.500 0.000 0.500
Ac9 0.500 0.000 0.832
La1 0.500 0.500 0.000
Nd1 0.500 0.500 0.334
Nd2 0.500 0.500 0.666


4.
Density functional theory data (PBE-GGA) for crystalline AcLa3Nd2 at its relaxed geometry.

Calculated values
Energy relative to the elements (eV per atom): 0.29

a b c (Å): 10.687 10.687 10.687
angles (deg): 160.70 145.60 39.74
Element x y z (fractional)
Ac1 0.000 0.000 0.000
La1 0.191 0.191 0.000
La2 0.500 0.000 0.500
La3 0.809 0.809 0.000
Nd1 0.363 0.363 0.000
Nd2 0.637 0.637 0.000


5.
Density functional theory data (PBE-GGA) for crystalline Ac2La7Nd4 at its relaxed geometry.

Calculated values
Energy relative to the elements (eV per atom): 0.09

a b c (Å): 6.646 6.707 12.772
angles (deg): 81.69 79.95 61.59
Element x y z (fractional)
Ac1 0.167 0.169 0.000
Ac2 0.833 0.831 0.000
La1 0.087 0.817 0.234
La2 0.202 0.546 0.742
La3 0.448 0.090 0.249
La4 0.500 0.500 0.000
La5 0.552 0.910 0.751
La6 0.798 0.454 0.258
La7 0.913 0.183 0.766
Nd1 0.237 0.985 0.519
Nd2 0.278 0.477 0.457
Nd3 0.722 0.523 0.543
Nd4 0.763 0.015 0.481


6.
Density functional theory data (PBE-GGA) for crystalline AcLa2Nd7 at its relaxed geometry.

Calculated values
Energy relative to the elements (eV per atom): 0.57

a b c (Å): 9.511 9.511 5.642
angles (deg): 90.00 90.00 124.09
Element x y z (fractional)
Ac1 0.000 0.000 0.000
La1 0.299 0.701 0.500
La2 0.701 0.299 0.500
Nd1 0.066 0.299 0.500
Nd2 0.231 0.769 0.000
Nd3 0.299 0.066 0.500
Nd4 0.500 0.500 0.500
Nd5 0.701 0.934 0.500
Nd6 0.769 0.231 0.000
Nd7 0.934 0.701 0.500


7.
Density functional theory data (PBE-GGA) for crystalline AcLa6Nd2 at its relaxed geometry.

Calculated values
Energy relative to the elements (eV per atom): 0.11

a b c (Å): 10.421 10.421 3.753
angles (deg): 90.00 90.00 124.39
Element x y z (fractional)
Ac1 0.000 0.000 0.000
La1 0.164 0.490 0.000
La2 0.329 0.329 0.500
La3 0.490 0.164 0.000
La4 0.510 0.836 0.000
La5 0.671 0.671 0.500
La6 0.836 0.510 0.000
Nd1 0.184 0.816 0.500
Nd2 0.816 0.184 0.500


8.
Density functional theory data (PBE-GGA) for crystalline Ac2La5Nd3 at its relaxed geometry.

Calculated values
Energy relative to the elements (eV per atom): 0.15

a b c (Å): 9.281 9.281 10.760
angles (deg): 108.80 108.80 104.55
Element x y z (fractional)
Ac1 0.029 0.281 0.057
Ac2 0.281 0.029 0.557
Ac3 0.719 0.971 0.443
Ac4 0.971 0.719 0.943
La1 0.024 0.976 0.750
La2 0.124 0.376 0.750
La3 0.236 0.764 0.750
La4 0.376 0.124 0.250
La5 0.486 0.514 0.250
La6 0.514 0.486 0.750
La7 0.624 0.876 0.750
La8 0.764 0.236 0.250
La9 0.876 0.624 0.250
La10 0.976 0.024 0.250
Nd1 0.223 0.474 0.443
Nd2 0.272 0.728 0.250
Nd3 0.474 0.223 0.943
Nd4 0.526 0.777 0.057
Nd5 0.728 0.272 0.750
Nd6 0.777 0.526 0.557


| no. | volume (A^3/atom) | size of the total moment (μB/atom) | density of states at the Fermi level (states/eV per cell) |
| --- | --- | --- | --- |
| 1 | 42.18 | 0.00 | 12.52 |
| 2 | 40.17 | 0.00 | 18.84 |
| 3 | 42.56 | 0.00 | 21.02 |
| 4 | 37.93 | 0.00 | 10.42 |
| 5 | 37.84 | 0.00 | 19.90 |
| 6 | 42.26 | 0.00 | 13.85 |
| 7 | 37.37 | 0.00 | 15.07 |
| 8 | 38.13 | 0.00 | 36.00 |